{"formula": "CuCl2", "functional": "GGA-PBEsol", "state": "relaxed", "cell": [[-2.7030, -0.1038, 1.8052], [-0.2308, -3.0031, 2.4110], [1.4861, 3.2957, 5.3441]], "species": ["Cu", "Cl", "Cl"], "frac_coords": [[0.5000, 0.0000, 0.0000], [0.1226, 0.0000, 0.7548], [0.8774, 0.0000, 0.2452]], "formation_energy_uncorrected_kcal_per_mol_atoms": -10.09, "crystal_system": "orthorhombic", "volume_a3_per_cell": 71}